# Sr2ZnP, optimized geometry, DFT PBE-GGA
data_Sr2ZnP
_chemical_formula_sum 'Sr2 Zn1 P1'
_space_group_name_H-M_alt 'P 1'
_space_group_IT_number 1
_cell_length_a 5.366
_cell_length_b 5.366
_cell_length_c 5.366
_cell_angle_alpha 60.00
_cell_angle_beta 60.00
_cell_angle_gamma 60.00
loop_
_space_group_symop_operation_xyz
'x,y,z'
loop_
_atom_site_label
_atom_site_type_symbol
_atom_site_fract_x
_atom_site_fract_y
_atom_site_fract_z
_atom_site_occupancy
Sr1 Sr 0.250 0.250 0.250 1
Sr2 Sr 0.750 0.750 0.750 1
Zn1 Zn 0.500 0.500 0.500 1
P1 P 0.000 0.000 0.000 1
# * energy above the lowest structure with this stoichiometry: 155 meV per atom
# * formation energy from the elements: -0.497 eV per atom
# * D(E_F): 3.8 states/eV/f.u.
# * total DFT energy (no corrections): -3.009 eV/atom